BeCdTeO | OQMD via LeMat-Bulk | PBE-GGA | relaxed; calculated volume = 321.5 Å³/cell; space group = Pca2_1, No. 29; ΔE to the lowest computed polymorph = 0.2723 eV/atom; uncorrected energy = -4.1136 eV per atom
1.0
6.468 0.000 0.000
0.000 8.774 0.000
0.000 0.000 5.665
Be Cd O Te
4 4 4 4
direct
0.726 0.218 0.060 Be
0.226 0.782 0.060 Be
0.774 0.218 0.560 Be
0.274 0.782 0.560 Be
0.279 0.133 0.324 Cd
0.779 0.867 0.324 Cd
0.221 0.133 0.824 Cd
0.721 0.867 0.824 Cd
0.738 0.167 0.312 O
0.238 0.833 0.312 O
0.762 0.167 0.812 O
0.262 0.833 0.812 O
0.544 0.493 0.054 Te
0.044 0.507 0.054 Te
0.956 0.493 0.554 Te
0.456 0.507 0.554 Te